(1)
This record from the Alexandria database describes crystalline LiYTm2Pd4 at its relaxed geometry. The functional is GGA-PBE.

Calculated values
Formation energy from the elements, meV/atom: -812

Cell and atoms, written as POSCAR:
```
LiYTm2Pd4
1.0
4.8337 0.0000 0.0000
2.4168 4.1861 0.0000
2.4168 1.3954 7.7943
Y Pd Li Tm
1 4 1 2
direct
0.0000 0.0000 0.0000
0.6234 0.6234 0.1299
0.1227 0.1227 0.6320
0.3766 0.3766 0.8701
0.8773 0.8773 0.3680
0.5000 0.5000 0.5000
0.7574 0.7574 0.7277
0.2426 0.2426 0.2723
```

=====

(2)
This record from the Alexandria database describes crystalline HoThTe at its relaxed geometry. The functional is GGA-PBE.

Calculated values
Offset from the most stable computed form, meV/atom: 0.0

Cell and atoms, written as POSCAR:
```
HoThTe
1.0
3.8669 0.0000 0.0000
-1.9335 3.3489 0.0000
0.0000 0.0000 14.6461
Ho Te Th
2 2 2
direct
0.3333 0.6667 0.1948
0.3333 0.6667 0.8052
0.0000 0.0000 0.3424
0.0000 0.0000 0.6576
0.0000 0.0000 0.0000
0.3333 0.6667 0.5000
```

=====

(3)
This record from the Alexandria database describes crystalline Nd4Dy3Ho8 at its relaxed geometry. The functional is GGA-PBE.

Calculated values
Offset from the most stable computed form, meV/atom: 247.9
Formation energy from the elements, meV/atom: 368

Cell and atoms, written as POSCAR:
```
Nd4Dy3Ho8
1.0
-0.2341 -3.4861 -5.7774
8.7506 1.2047 2.8866
-1.2030 -5.5426 7.3613
Dy Ho Nd
3 8 4
direct
0.5000 0.5000 0.5000
0.5000 0.5000 0.0000
0.5000 0.0000 0.5000
0.5222 0.2674 0.2674
0.4778 0.7326 0.7326
0.5000 0.2557 0.7443
0.0000 0.3621 0.6379
0.9962 0.7295 0.7295
0.0038 0.2705 0.2705
0.5000 0.7443 0.2557
0.0000 0.6379 0.3621
0.0000 0.5000 0.0000
0.0000 0.0000 0.5000
0.0000 0.0000 0.0000
0.5000 0.0000 0.0000
```

=====

(4)
This record from the Alexandria database describes crystalline Nb2TeSe3 at its relaxed geometry. The functional is GGA-PBE.

Calculated values
Offset from the most stable computed form, meV/atom: 372.8

Cell and atoms, written as POSCAR:
```
Nb2TeSe3
1.0
-2.6735 4.7371 -2.6428
-0.1068 -3.1490 -5.5367
-5.7046 -2.2748 1.6929
Nb Se Te
4 6 2
direct
0.5000 0.7590 0.2410
0.0000 0.7590 0.2410
0.5000 0.2410 0.7590
0.0000 0.2410 0.7590
0.2500 0.0790 0.0790
0.2500 0.5820 0.9146
0.7500 0.0854 0.4180
0.2500 0.9146 0.5820
0.7500 0.9210 0.9210
0.7500 0.4180 0.0854
0.7499 0.5932 0.5932
0.2501 0.4068 0.4068
```

=====

(5)
This record from the Alexandria database describes crystalline BaSr2Pb at its relaxed geometry. The functional is GGA-PBE.

Calculated values
Formation energy from the elements, meV/atom: -206

Cell and atoms, written as POSCAR:
```
BaSr2Pb
1.0
6.2479 0.0000 0.0000
3.1239 5.4108 0.0000
3.1239 1.8036 5.1014
Sr Pb Ba
2 1 1
direct
0.2500 0.2500 0.2500
0.0000 0.0000 0.0000
0.7500 0.7500 0.7500
0.5000 0.5000 0.5000
```

=====

(6)
This record from the Alexandria database describes crystalline Nd6AgHg5 at its relaxed geometry. The functional is GGA-PBE.

Calculated values
Offset from the most stable computed form, meV/atom: 167.6
Formation energy from the elements, meV/atom: -268

Cell and atoms, written as POSCAR:
```
Nd6AgHg5
1.0
-6.1572 -2.2941 -6.5485
-5.2635 -2.6931 3.9294
-4.9502 3.7569 2.3567
Nd Hg Ag
6 5 1
direct
0.2130 0.2742 0.0000
0.7344 0.0957 0.3391
0.2656 0.5652 0.3391
0.7344 0.4348 0.6609
0.7870 0.7258 0.0000
0.2656 0.9043 0.6609
0.5000 0.5000 0.0000
0.0000 0.2890 0.4219
0.5000 0.8657 0.2686
0.0000 0.7110 0.5781
0.5000 0.1343 0.7314
0.0000 0.0000 0.0000
```